Record 1
Below is a geometry-optimized CsBi4Pb4 structure, with properties calculated at the PBE-GGA level.

Computed properties:
E: -3.497 eV per atom
SG: P4_2/n (86)

Cell lengths 10.4536, 10.4536, 6.3123 Å; angles 90.00, 90.00, 90.00 degrees
Last column: nearest neighbours and their distance in Å.
Element x y z (fractional)
Cs 0.2500 0.2500 0.2500  4 Pb 3.90, 4 Bi 4.02
Cs 0.7500 0.7500 0.7500  4 Pb 3.90, 4 Bi 4.02
Bi 0.0120 0.8734 0.1696  5 Pb 3.21-3.52, 1 Bi 3.41
Bi 0.1266 0.5120 0.6696  5 Pb 3.21-3.52, 1 Bi 3.41
Bi 0.3734 0.9880 0.6696  5 Pb 3.21-3.52, 1 Bi 3.41
Bi 0.4880 0.6266 0.1696  5 Pb 3.21-3.52, 1 Bi 3.41
Bi 0.5120 0.3734 0.8304  5 Pb 3.21-3.52, 1 Bi 3.41
Bi 0.6266 0.0120 0.3304  5 Pb 3.21-3.52, 1 Bi 3.41
Bi 0.8734 0.4880 0.3304  5 Pb 3.21-3.52, 1 Bi 3.41
Bi 0.9880 0.1266 0.8304  5 Pb 3.21-3.52, 1 Bi 3.41
Pb 0.1096 0.8307 0.6567  5 Bi 3.21-3.52, 1 Pb 3.39
Pb 0.1693 0.6096 0.1567  5 Bi 3.21-3.52, 1 Pb 3.39
Pb 0.3307 0.8904 0.1567  5 Bi 3.21-3.52, 1 Pb 3.39
Pb 0.3904 0.6693 0.6567  5 Bi 3.21-3.52, 1 Pb 3.39
Pb 0.6096 0.3307 0.3433  5 Bi 3.21-3.52, 1 Pb 3.39
Pb 0.6693 0.1096 0.8433  5 Bi 3.21-3.52, 1 Pb 3.39
Pb 0.8307 0.3904 0.8433  5 Bi 3.21-3.52, 1 Pb 3.39
Pb 0.8904 0.1693 0.3433  5 Bi 3.21-3.52, 1 Pb 3.39

Record 2
Below is a geometry-optimized MnTe2Pt structure, with properties calculated at the PBE-GGA level.

Computed properties:
Uncorrected formation energy: -4.77 kcal/mol of atoms
Energy relative to the lowest polymorph listed for this composition: 31 meV per atom
SG: Cm (8)

Cell lengths 6.9486, 4.0672, 7.1476 Å; angles 90.00, 109.15, 90.00 degrees
Last column: nearest neighbours and their distance in Å.
Element x y z (fractional)
Mn 0.0000 0.0000 0.0000  3 Pt 2.64-2.65, 3 Te 2.69-2.70
Mn 0.5000 0.5000 0.0000  3 Pt 2.64-2.65, 3 Te 2.69-2.70
Te 0.0480 0.5000 0.6311  3 Pt 2.64-2.65
Te 0.2305 0.5000 0.1992  3 Mn 2.69-2.70
Te 0.5480 0.0000 0.6311  3 Pt 2.64-2.65
Te 0.7305 0.0000 0.1992  3 Mn 2.69-2.70
Pt 0.2738 0.0000 0.8155  3 Te 2.64-2.65, 3 Mn 2.64-2.65
Pt 0.7738 0.5000 0.8155  3 Te 2.64-2.65, 3 Mn 2.64-2.65

Record 3
Below is a geometry-optimized RbCa4Tl5 structure, with properties calculated at the PBE-GGA level.

Computed properties:
E: -2.430 eV per atom
SG: P4/mmm (123)

Cell lengths 3.9705, 3.9705, 20.2106 Å; angles 90.00, 90.00, 90.00 degrees
Last column: nearest neighbours and their distance in Å.
Element x y z (fractional)
Rb 0.0000 0.0000 0.0000  8 Tl 3.87, 4 Rb 3.97
Ca 0.0000 0.0000 0.2197  8 Tl 3.32-3.36
Ca 0.0000 0.0000 0.4070  8 Tl 3.38-3.41, 1 Ca 3.76
Ca 0.0000 0.0000 0.5930  8 Tl 3.38-3.41, 1 Ca 3.76
Ca 0.0000 0.0000 0.7803  8 Tl 3.32-3.36
Tl 0.5000 0.5000 0.1317  4 Ca 3.32, 1 Tl 3.63
Tl 0.5000 0.5000 0.3114  8 Ca 3.36-3.41, 1 Tl 3.63
Tl 0.5000 0.5000 0.5000  8 Ca 3.38
Tl 0.5000 0.5000 0.6886  8 Ca 3.36-3.41, 1 Tl 3.63
Tl 0.5000 0.5000 0.8683  4 Ca 3.32, 1 Tl 3.63

Record 4
Below is a geometry-optimized Cs2MgSiI6 structure, with properties calculated at the PBE-GGA level.

Computed properties:
Uncorrected formation energy: -21.20 kcal/mol of atoms
SG: Fm-3m (225)

Cell lengths 8.3705, 8.3705, 8.3705 Å; angles 60.00, 60.00, 60.00 degrees
Last column: nearest neighbours and their distance in Å.
Element x y z (fractional)
Cs 0.2500 0.2500 0.2500  12 I 4.19
Cs 0.7500 0.7500 0.7500  12 I 4.19
Mg 0.0000 0.0000 0.0000  6 I 2.96
Si 0.5000 0.5000 0.5000  6 I 2.95
I 0.2504 0.2504 0.7496  1 Si 2.95, 1 Mg 2.96
I 0.2504 0.7496 0.2504  1 Si 2.95, 1 Mg 2.96
I 0.2504 0.7496 0.7496  1 Si 2.95, 1 Mg 2.96
I 0.7496 0.2504 0.2504  1 Si 2.95, 1 Mg 2.96
I 0.7496 0.2504 0.7496  1 Si 2.95, 1 Mg 2.96
I 0.7496 0.7496 0.2504  1 Si 2.95, 1 Mg 2.96

Record 5
Below is a geometry-optimized Ac3Al2TlPd9 structure, with properties calculated at the PBE-GGA level.

Computed properties:
E: -5.222 eV per atom
SG: P-3m1 (164)

Cell lengths 5.9794, 5.9794, 11.5182 Å; angles 90.00, 90.00, 120.00 degrees
Last column: nearest neighbours and their distance in Å.
Element x y z (fractional)
Ac 0.0000 0.0000 0.0000  6 Pd 2.99
Ac 0.3333 0.6667 0.7304  6 Pd 3.01
Ac 0.6667 0.3333 0.2696  6 Pd 3.01
Al 0.3333 0.6667 0.1581  6 Pd 2.45-2.51
Al 0.6667 0.3333 0.8419  6 Pd 2.45-2.51
Tl 0.0000 0.0000 0.5000  6 Pd 2.82
Pd 0.0000 0.5000 0.0000  2 Al 2.51
Pd 0.1596 0.3192 0.3018  1 Al 2.45
Pd 0.1596 0.8404 0.3018  1 Al 2.45
Pd 0.3192 0.1596 0.6982  1 Al 2.45
Pd 0.5000 0.0000 0.0000  2 Al 2.51
Pd 0.5000 0.5000 0.0000  2 Al 2.51
Pd 0.6808 0.8404 0.3018  1 Al 2.45
Pd 0.8404 0.1596 0.6982  1 Al 2.45
Pd 0.8404 0.6808 0.6982  1 Al 2.45

Record 6
Below is a geometry-optimized Ti5Al2P2 structure, with properties calculated at the PBE-GGA level.

Computed properties:
E: -7.118 eV per atom
SG: Cmce (64)

Cell lengths 7.3388, 7.3388, 6.5263 Å; angles 90.00, 90.00, 54.14 degrees
Last column: nearest neighbours and their distance in Å.
Element x y z (fractional)
Ti 0.0000 0.0000 0.0000  4 P 2.56-2.62, 2 Al 2.84
Ti 0.0517 0.7079 0.6706  3 P 2.43-2.57, 1 Al 2.66
Ti 0.2079 0.5517 0.1706  3 P 2.43-2.57, 1 Al 2.66
Ti 0.2921 0.9483 0.6706  3 P 2.43-2.57, 1 Al 2.66
Ti 0.4483 0.7921 0.1706  3 P 2.43-2.57, 1 Al 2.66
Ti 0.5000 0.5000 0.5000  4 P 2.56-2.62, 2 Al 2.84
Ti 0.5517 0.2079 0.8294  3 P 2.43-2.57, 1 Al 2.66
Ti 0.7079 0.0517 0.3294  3 P 2.43-2.57, 1 Al 2.66
Ti 0.7921 0.4483 0.8294  3 P 2.43-2.57, 1 Al 2.66
Ti 0.9483 0.2921 0.3294  3 P 2.43-2.57, 1 Al 2.66
Al 0.2170 0.2170 0.0000  7 Ti 2.66-2.84
Al 0.2830 0.2830 0.5000  7 Ti 2.66-2.84
Al 0.7170 0.7170 0.5000  7 Ti 2.66-2.84
Al 0.7830 0.7830 0.0000  7 Ti 2.66-2.84
P 0.1296 0.8704 0.3686  8 Ti 2.43-2.62, 1 P 2.44
P 0.3704 0.6296 0.8686  8 Ti 2.43-2.62, 1 P 2.44
P 0.6296 0.3704 0.1314  8 Ti 2.43-2.62, 1 P 2.44
P 0.8704 0.1296 0.6314  8 Ti 2.43-2.62, 1 P 2.44

What did the fifth record say?
Below is a geometry-optimized Ac3Al2TlPd9 structure, with properties calculated at the PBE-GGA level.

Computed properties:
E: -5.222 eV per atom
SG: P-3m1 (164)

Cell lengths 5.9794, 5.9794, 11.5182 Å; angles 90.00, 90.00, 120.00 degrees
Last column: nearest neighbours and their distance in Å.
Element x y z (fractional)
Ac 0.0000 0.0000 0.0000  6 Pd 2.99
Ac 0.3333 0.6667 0.7304  6 Pd 3.01
Ac 0.6667 0.3333 0.2696  6 Pd 3.01
Al 0.3333 0.6667 0.1581  6 Pd 2.45-2.51
Al 0.6667 0.3333 0.8419  6 Pd 2.45-2.51
Tl 0.0000 0.0000 0.5000  6 Pd 2.82
Pd 0.0000 0.5000 0.0000  2 Al 2.51
Pd 0.1596 0.3192 0.3018  1 Al 2.45
Pd 0.1596 0.8404 0.3018  1 Al 2.45
Pd 0.3192 0.1596 0.6982  1 Al 2.45
Pd 0.5000 0.0000 0.0000  2 Al 2.51
Pd 0.5000 0.5000 0.0000  2 Al 2.51
Pd 0.6808 0.8404 0.3018  1 Al 2.45
Pd 0.8404 0.1596 0.6982  1 Al 2.45
Pd 0.8404 0.6808 0.6982  1 Al 2.45